(1)
VASP calculation (PBE) on crystalline La6In2Cu at its relaxed geometry.

Cell: 3.875 15.927 9.196 Å, 90.00 90.00 90.00°
Space group Amm2 (No. 38)
Unique sites:
La: 0.000 0.000 0.000 x2
La: 0.000 0.126 0.624 x4
La: 0.500 0.000 0.350 x2
La: 0.500 0.200 0.949 x4
In: 0.000 0.166 0.249 x4
Cu: 0.500 0.000 0.749 x2

**Density of states at the Fermi level**: 24.61 states/eV per cell
**Energy of formation**: -2.4 eV/f.u.



(2)
VASP calculation (PBE) on crystalline La2InCu2 at its relaxed geometry.

Cell: 8.741 8.741 3.401 Å, 90.00 90.00 90.00°
Space group P4/mbm (No. 127)
Unique sites:
La: 0.173 0.327 0.000 x4
In: 0.000 0.000 0.000 x2
Cu: 0.111 0.611 0.500 x4

**Density of states at the Fermi level**: 8.32 states/eV per cell
**Energy of formation**: -0.2 eV/f.u.



(3)
VASP calculation (PBE) on crystalline La2InCu2 at its relaxed geometry.

Cell: 5.751 5.751 7.883 Å, 90.00 90.00 90.00°
Space group I4/mmm (No. 139)
Unique sites:
La: 0.000 0.500 0.250 x4
In: 0.000 0.000 0.000 x2
Cu: 0.000 0.000 0.355 x4

**Density of states at the Fermi level**: 8.65 states/eV per cell
**Energy of formation**: -0.8 eV/f.u.



(4)
VASP calculation (PBE) on crystalline LaIn3Cu8 at its relaxed geometry.

Cell: 5.1067 5.1067 8.6984 Å, 90.00 90.00 120.00°
Space group P3m1 (No. 156)
Unique sites:
La: 0.0000 0.0000 0.0000 x1
In: 0.0000 0.0000 0.3769 x1
In: 0.6667 0.3333 0.4883 x1
In: 0.6667 0.3333 0.8431 x1
Cu: 0.1658 0.3316 0.6724 x3
Cu: 0.3333 0.6667 0.4308 x1
Cu: 0.3333 0.6667 0.9190 x1
Cu: 0.5005 0.0010 0.1923 x3

**Density of states at the Fermi level**: 2.47 states/eV per cell
**Energy of formation**: -1.0 eV/f.u.



(5)
VASP calculation (PBE) on crystalline LaInCu2 at its relaxed geometry.

Cell: 4.926 4.926 7.033 Å, 90.00 90.00 90.00°
Space group I-4m2 (No. 119)
Unique sites:
La: 0.000 0.000 0.000 x2
In: 0.000 0.500 0.250 x2
Cu: 0.000 0.000 0.500 x2
Cu: 0.000 0.500 0.750 x2

**Density of states at the Fermi level**: 3.99 states/eV per cell
**Energy of formation**: -0.1 eV/f.u.



(6)
VASP calculation (PBE) on crystalline La5InCu2 at its relaxed geometry.

Cell: 8.364 8.364 13.525 Å, 90.00 90.00 90.00°
Space group I4/mcm (No. 140)
Unique sites:
La: 0.000 0.000 0.000 x4
La: 0.156 0.344 0.143 x16
In: 0.000 0.000 0.250 x4
Cu: 0.127 0.373 0.500 x8

**Density of states at the Fermi level**: 41.68 states/eV per cell
**Energy of formation**: -1.7 eV/f.u.



(7)
VASP calculation (PBE) on crystalline La8InCu2 at its relaxed geometry.

Cell: 18.281 5.124 8.025 Å, 90.00 114.58 90.00°
Space group C2/m (No. 12)
Unique sites:
La: 0.040 0.000 0.263 x4
La: 0.091 0.500 0.969 x4
La: 0.183 0.500 0.485 x4
La: 0.186 0.000 0.798 x4
In: 0.000 0.500 0.500 x2
Cu: 0.184 0.000 0.162 x4

**Density of states at the Fermi level**: 23.31 states/eV per cell
**Energy of formation**: -1.6 eV/f.u.



(8)
VASP calculation (PBE) on crystalline La3InCu3 at its relaxed geometry.

Cell: 4.456 10.686 14.368 Å, 90.00 90.00 90.00°
Space group Cmcm (No. 63)
Unique sites:
La: 0.000 0.019 0.250 x4
La: 0.000 0.299 0.103 x8
In: 0.000 0.000 0.000 x4
Cu: 0.000 0.280 0.750 x4
Cu: 0.000 0.411 0.600 x8

**Density of states at the Fermi level**: 29.53 states/eV per cell
**Energy of formation**: -1.9 eV/f.u.